VASP calculation (PBEsol) on a relaxed structure of TlAsOs.

It has space group F-43m (No. 216), with a = 6.230 Å, b = 6.230 Å, c = 6.230 Å, α = 90.00°, β = 90.00° and γ = 90.00°. The asymmetric unit holds Tl at (0.000, 0.000, 0.000), As at (0.250, 0.250, 0.250) and Os at (0.000, 0.000, 0.500).

The energy relative to the elements is 1.1499 eV per atom. The calculated total energy is -5.501 eV/atom. As for the density of states at the Fermi level: 4.1 states/eV/f.u. For the calculated volume, the calculation gives 20.15 Å³ per atom.